(1)
VASP calculation (PBE) on crystalline CdPb2 at its relaxed geometry.

```
CdPb2
1.0
-1.782 2.474 5.000
1.782 -2.474 5.000
1.782 2.474 -5.000
Cd Pb
1 2
Cartesian
0.000 0.000 0.000
0.000 0.000 3.314
0.000 0.000 6.687
```

Computed properties:
- Total moment: 0.0 μB/f.u.
- Calculated formation energy: 0.0396 eV per atom
- Electronic total energy: -2.74 eV per atom
- E above lowest polymorph: 0.005 eV per atom
- V: 29.4 Å³ per atom

***

(2)
VASP calculation (PBE) on crystalline Er4CuRu at its relaxed geometry.

```
Er4CuRu
1.0
4.771 0.000 0.000
0.000 4.771 0.000
0.000 0.000 6.746
Er Cu Ru
4 1 1
Cartesian
0.000 2.386 1.648
0.000 2.386 5.098
2.386 0.000 1.648
2.386 0.000 5.098
0.000 0.000 3.373
2.386 2.386 0.000
```

Computed properties:
- Total moment: 0.0 μB/f.u.
- Calculated formation energy: -0.1598 eV per atom
- Electronic total energy: -5.43 eV per atom
- E above lowest polymorph: 0.086 eV per atom
- V: 25.6 Å³ per atom

***

(3)
VASP calculation (PBE) on crystalline SmThP2 at its relaxed geometry.

```
SmThP2
1.0
2.066 1.193 6.717
-2.066 1.193 6.717
0.000 -2.385 6.717
Sm Th P
1 1 2
Cartesian
0.000 0.000 0.000
0.000 0.000 10.075
0.000 0.000 5.035
0.000 0.000 15.116
```

Computed properties:
- Total moment: 0.0 μB/f.u.
- Calculated formation energy: -1.5776 eV per atom
- Electronic total energy: -7.32 eV per atom
- E above lowest polymorph: 0.000 eV per atom
- V: 24.8 Å³ per atom

***

(4)
VASP calculation (PBE) on crystalline K2Cd7Ag at its relaxed geometry.

```
K2Cd7Ag
1.0
4.698 0.000 0.000
0.000 4.698 0.000
0.000 0.000 13.061
K Cd Ag
2 7 1
Cartesian
0.000 2.349 3.198
2.349 0.000 9.863
0.000 0.000 0.000
0.000 0.000 6.531
0.000 2.349 8.399
0.000 2.349 11.300
2.349 0.000 1.761
2.349 0.000 4.663
2.349 2.349 6.531
2.349 2.349 0.000
```

Computed properties:
- Total moment: 0.0 μB/f.u.
- Calculated formation energy: -0.0466 eV per atom
- Electronic total energy: -1.19 eV per atom
- E above lowest polymorph: 0.000 eV per atom
- V: 28.8 Å³ per atom